Record 1
This record from Alexandria via LeMat-Bulk describes crystalline LuZn2Cu at its relaxed geometry. The functional is PBE.

Geometry as extended XYZ:
```
4
Lattice="4.547 0.000 0.000 2.274 3.938 0.000 2.274 1.313 3.713" Properties=species:S:1:pos:R:3 pbc="T T T"
Zn 2.274 1.313 0.928
Zn 6.821 3.938 2.785
Lu 0.000 0.000 0.000
Cu 4.547 2.625 1.857
```

Values from the calculation:
Formation energy from the elements: -0.216 eV per atom
DFT total energy: -12.03 eV for the cell shown

---

Record 2
This record from Alexandria via LeMat-Bulk describes crystalline CaMgSbI at its relaxed geometry. The functional is PBE.

Geometry as extended XYZ:
```
8
Lattice="4.654 0.000 0.000 2.327 4.031 0.000 2.327 1.344 15.109" Properties=species:S:1:pos:R:3 pbc="T T T"
Ca 2.327 1.344 11.274
Ca 6.982 4.031 3.835
Mg 6.982 4.031 14.124
Mg 2.327 1.344 0.985
Sb 4.654 2.687 1.952
Sb 4.654 2.687 13.157
I 6.982 4.031 9.575
I 2.327 1.344 5.534
```

Values from the calculation:
ΔE_f (raw): -1.05 eV/atom
DFT total energy: -26.95 eV for the cell shown